[1]
A plane-wave DFT calculation with GGA-PBE was carried out for a geometry-optimized SbOs structure.

## Properties
Total magnetization in μB per cell: 0.00
E_tot in eV/cell: -223.30
DOS(E_F) in states/eV/f.u.: 1.81

POSCAR file:
```
SbOs
1.0
-6.287 -4.816 3.050
3.820 -9.596 -7.279
4.261 -2.259 5.214
Sb Os
16 16
direct
0.032 0.750 0.250
0.032 0.250 0.750
0.282 0.500 0.000
0.532 0.250 0.250
0.718 0.500 0.000
0.968 0.250 0.250
0.468 0.250 0.750
0.718 0.000 0.500
0.282 0.000 0.500
0.532 0.750 0.750
0.218 0.500 0.500
0.468 0.750 0.250
0.782 0.000 0.000
0.968 0.750 0.750
0.218 0.000 0.000
0.782 0.500 0.500
0.000 0.101 0.500
0.750 0.649 0.250
0.750 0.351 0.750
0.750 0.851 0.250
0.500 0.601 0.500
0.250 0.851 0.750
0.250 0.149 0.250
0.500 0.101 0.000
0.250 0.649 0.750
0.250 0.351 0.250
0.000 0.601 0.000
0.750 0.149 0.750
0.500 0.399 0.500
0.500 0.899 0.000
0.000 0.399 0.000
0.000 0.899 0.500
```

---

[2]
A plane-wave DFT calculation with GGA-PBE was carried out for a geometry-optimized Tl2ZnSi structure.

## Properties
Total magnetization in μB per cell: 0.00
E_tot in eV/cell: -10.79
DOS(E_F) in states/eV/f.u.: 1.63

POSCAR file:
```
Tl2ZnSi
1.0
4.222 -0.008 0.015
2.120 3.652 0.015
2.098 1.206 6.898
Tl Zn Si
2 1 1
direct
0.024 0.024 0.929
0.226 0.226 0.322
0.460 0.460 0.621
0.790 0.790 0.629
```

---

[3]
A plane-wave DFT calculation with GGA-PBE was carried out for a geometry-optimized Pm2HfZrAs4 structure.

## Properties
Total magnetization in μB per cell: 0.00
E_tot in eV/cell: -56.85
DOS(E_F) in states/eV/f.u.: 4.16

POSCAR file:
```
Pm2HfZrAs4
1.0
-2.525 0.705 3.037
4.635 -2.644 4.467
1.111 6.916 -0.681
Pm As Zr Hf
2 4 1 1
direct
0.500 0.000 0.500
0.000 0.500 0.500
0.000 0.740 0.226
0.500 0.755 0.773
0.500 0.245 0.227
0.000 0.260 0.774
0.000 0.000 0.000
0.500 0.500 0.000
```

---

[4]
A plane-wave DFT calculation with GGA-PBE was carried out for a geometry-optimized BaPtCl5 structure.

## Properties
Total magnetization in μB per cell: 0.00
E_tot in eV/cell: -52.80
DOS(E_F) in states/eV/f.u.: 0.47

POSCAR file:
```
BaPtCl5
1.0
-6.941 -2.483 -0.833
6.219 -3.718 -1.591
3.299 -0.574 9.737
Cl Pt Ba
10 2 2
direct
0.317 0.617 0.430
0.175 0.872 0.563
0.687 0.887 0.070
0.683 0.383 0.570
0.809 0.613 0.937
0.825 0.128 0.437
0.313 0.113 0.930
0.254 0.004 0.250
0.746 0.996 0.750
0.191 0.387 0.063
0.500 0.000 0.500
0.000 0.000 0.000
0.248 0.498 0.750
0.752 0.502 0.250
```